{
  "formula": "K2CdAuO",
  "functional": "PBE",
  "state": "optimized geometry",
  "sg": "No. 123",
  "dos_at_fermi_per_ev_fu": 0.92,
  "magmom_total_mub_per_atom": 0.000,
  "formation_energy_uncorrected_ev_per_atom": -0.60,
  "lattice_angstrom": [[-1.988, 5.137, -0.529], [0.110, -0.524, -5.508], [-4.167, -1.606, 0.069]],
  "species": ["K", "Cd", "O", "Au", "K"],
  "frac_coords": [[0.000, 0.500, 0.000], [0.000, 0.000, 0.500], [0.000, 0.000, 0.000], [0.500, 0.500, 0.500], [0.500, 0.000, 0.000]]
}